Compound: ZrRePS2
Source: the Alexandria database
Functional: PBE
Structure: relaxed

Calculated values
energy relative to the elements, uncorrected = 0.84 eV per atom
total DFT energy (no corrections) = -30.5 eV/cell

The structure in CIF format:
```
data_ZrRePS2
_space_group_name_H-M_alt 'P 4/m m m'
_space_group_IT_number 123
_space_group_name_Hall '-P 4 2'
_cell_length_a 4.853
_cell_length_b 4.853
_cell_length_c 5.274
_cell_angle_alpha 90.00
_cell_angle_beta 90.00
_cell_angle_gamma 90.00
loop_
_atom_site_label
_atom_site_type_symbol
_atom_site_fract_x
_atom_site_fract_y
_atom_site_fract_z
Zr1 Zr 0.000 0.000 0.000
Re1 Re 0.500 0.500 0.500
P1 P 0.000 0.000 0.500
S1 S 0.000 0.500 0.000
```